# Ac2MnCrS6

Ac2MnCrS6 after structural relaxation (GGA-PBE, Alexandria).

N(E_F) ... 7.56 states/eV/cell
Energy relative to the elements, uncorrected ... -1.405 eV per atom
Total magnetic moment ... 7.000 μB/f.u.

Unit cell a=6.5440 b=6.9801 c=11.4926 alpha=90.00 beta=124.59 gamma=90.00
Space group P2_1/c (No. 14)
One atom of each set of equivalent atoms:
Ac (0.2249, 0.0829, 0.2503)
Mn (0.5000, 0.0000, 0.0000)
Cr (0.0000, 0.0000, 0.5000)
S (0.1576, 0.1991, 0.9619)
S (0.2632, 0.6965, 0.9620)
S (0.3263, 0.5010, 0.2510)



# Ac2CrMoN5

Ac2CrMoN5 after structural relaxation (GGA-PBE, Alexandria).

N(E_F) ... 7.65 states/eV/cell
Energy relative to the elements, uncorrected ... -0.789 eV per atom
Total magnetic moment ... 1.016 μB/f.u.

Unit cell a=3.4264 b=14.7601 c=10.3598 alpha=90.00 beta=90.00 gamma=90.00
Space group Cmc2_1 (No. 36)
One atom of each set of equivalent atoms:
Ac (0.0000, 0.1213, 0.0000)
Ac (0.0000, 0.1290, 0.6133)
Cr (0.0000, 0.4405, 0.7605)
Mo (0.0000, 0.2101, 0.3224)
N (0.0000, 0.0431, 0.3326)
N (0.0000, 0.3004, 0.9480)
N (0.0000, 0.3215, 0.6897)
N (0.0000, 0.3337, 0.3109)
N (0.0000, 0.4957, 0.6094)